VASP calculation (PBE+U) on crystalline PrTa2CrO8 at its relaxed geometry.

```
PrTa2CrO8
1.0
3.5802 -3.3609 0.0000
3.5802 3.3609 0.0000
-0.1921 0.0000 6.5160
Pr Ta Cr O
1 2 1 8
Direct
0.0000 0.0000 0.0000
0.4733 0.4733 0.7381
0.5267 0.5267 0.2619
0.0000 0.0000 0.5000
0.2025 0.7775 0.2841
0.2225 0.7975 0.7159
0.3051 0.3051 0.5028
0.3288 0.3288 0.9845
0.6712 0.6712 0.0155
0.6949 0.6949 0.4972
0.7775 0.2025 0.2841
0.7975 0.2225 0.7159
```

## Properties
E_tot (hartree per atom): -0.3309
Crystal system: monoclinic